Below is a geometry-optimized SrCa2ZnCd structure, with properties calculated at the PBE level.

The space group is P4/mmm (No. 123) and the conventional cell measures 5.796, 5.796 and 5.210 Å, with angles of 90.00, 90.00 and 90.00 degrees. Symmetry generates all atoms from Sr at (0.000, 0.000, 0.000), Ca at (0.000, 0.500, 0.500), Zn at (0.500, 0.500, 0.500) and Cd at (0.500, 0.500, 0.000).

The calculation puts the volume at 35.0 A^3/atom. For the total moment, the calculation gives 0.00 μB per cell. The calculation puts the calculated total energy at -8.04 eV per formula unit.